## HoTmGaSi (PBE)

Data for a geometry-optimized HoTmGaSi structure.

Properties
Fermi-level density of states = 0.78 states/eV/atom
E_tot = -5.12 eV per atom
Formation energy without anion corrections = -0.744 eV per atom

```
data_HoTmGaSi
_chemical_formula_sum 'Ho2 Tm2 Ga2 Si2'
_space_group_name_H-M_alt 'A m m 2'
_space_group_IT_number 38
_space_group_name_Hall 'A 2 -2'
_cell_length_a 3.925
_cell_length_b 4.263
_cell_length_c 10.598
_cell_angle_alpha 90.00
_cell_angle_beta 90.00
_cell_angle_gamma 90.00
loop_
_atom_site_label
_atom_site_type_symbol
_atom_site_fract_x
_atom_site_fract_y
_atom_site_fract_z
_atom_site_occupancy
Ho1 Ho 0.000 0.000 0.000 1
Tm1 Tm 0.500 0.000 0.281 1
Ga1 Ga 0.500 0.000 0.565 1
Si1 Si 0.000 0.000 0.719 1
```